Entry 1:
A crystal of Cu2HgP relaxed with PBEsol. Source: Alexandria via LeMat-Bulk, functional meta-GGA SCAN.

Cell: 4.3960 4.3960 4.3960 Å, 60.00 60.00 60.00°
Fractional coordinates of all 4 atoms:
Cu 0.0000 0.0000 0.0000
Cu 0.2500 0.2500 0.2500
Hg 0.5000 0.5000 0.5000
P 0.7500 0.7500 0.7500

Values from the calculation:
Density = 9.91 g/cm³
Energy of formation = 0.5609 eV per atom

---

Entry 2:
A crystal of K2PtPb relaxed with PBEsol. Source: Alexandria via LeMat-Bulk, functional meta-GGA SCAN.

Cell: 6.4039 6.4039 6.4039 Å, 141.62 126.13 68.06°
Fractional coordinates of all 4 atoms:
K 0.0000 0.0000 0.0000
K 0.6923 0.1923 0.5000
Pt 0.4353 0.4353 0.0000
Pb 0.2892 0.7892 0.5000

Values from the calculation:
Density = 6.16 g/cm³
Energy of formation = -0.2165 eV per atom

---

Entry 3:
A crystal of MnCr2Ru relaxed with PBEsol. Source: Alexandria via LeMat-Bulk, functional meta-GGA SCAN.

Cell: 2.9499 4.0353 4.0533 Å, 90.00 90.00 90.00°
Fractional coordinates of all 4 atoms:
Mn 0.0000 0.0000 0.0000
Cr 0.0000 0.5000 0.5000
Cr 0.5000 0.5000 0.0000
Ru 0.5000 0.0000 0.5000

Values from the calculation:
Density = 8.95 g/cm³
Energy of formation = -0.1509 eV per atom
Distance to the lowest polymorph of the same formula = 0.0 meV/atom

---

Entry 4:
A crystal of LiTcPb2 relaxed with PBEsol. Source: Alexandria via LeMat-Bulk, functional meta-GGA SCAN.

Cell: 3.4284 3.4284 6.7053 Å, 90.00 90.00 90.00°
Fractional coordinates of all 4 atoms:
Li 0.0000 0.0000 0.0000
Tc 0.0000 0.0000 0.5000
Pb 0.5000 0.5000 0.2638
Pb 0.5000 0.5000 0.7362

Values from the calculation:
Density = 10.94 g/cm³
Energy of formation = 0.2186 eV per atom
Distance to the lowest polymorph of the same formula = 0.0 meV/atom

---

Entry 5:
A crystal of MgIrBr2 relaxed with PBEsol. Source: Alexandria via LeMat-Bulk, functional meta-GGA SCAN.

Cell: 3.4552 3.4552 7.0769 Å, 90.00 90.00 90.00°
Fractional coordinates of all 4 atoms:
Mg 0.0000 0.0000 0.0000
Ir 0.5000 0.5000 0.8424
Br 0.0000 0.0000 0.6056
Br 0.5000 0.5000 0.1987

Values from the calculation:
Density = 7.40 g/cm³
Uncorrected formation energy = -0.012 eV/atom
Distance to the lowest polymorph of the same formula = 0.0 meV/atom

---

Entry 6:
A crystal of TaTl2Sb relaxed with PBEsol. Source: Alexandria via LeMat-Bulk, functional meta-GGA SCAN.

Cell: 5.9850 5.9850 5.9850 Å, 138.89 138.89 59.54°
Fractional coordinates of all 4 atoms:
Ta 0.0000 0.0000 0.0000
Tl 0.2500 0.7500 0.5000
Tl 0.7500 0.2500 0.5000
Sb 0.5000 0.5000 0.0000

Values from the calculation:
Density = 12.88 g/cm³
Uncorrected formation energy = 0.709 eV/atom
Distance to the lowest polymorph of the same formula = 383.4 meV/atom

---

Entry 7:
A crystal of CaPSe2 relaxed with PBEsol. Source: Alexandria via LeMat-Bulk, functional meta-GGA SCAN.

Cell: 4.1417 4.2819 5.6403 Å, 90.00 109.38 90.00°
Fractional coordinates of all 4 atoms:
Ca 0.0000 0.0000 0.0000
P 0.5022 0.5000 0.3246
Se 0.4623 0.5000 0.9024
Se 0.7789 0.0000 0.4405

Values from the calculation:
Density = 4.03 g/cm³
Uncorrected formation energy = -0.940 eV/atom

---

Entry 8:
A crystal of Ba3HgRu relaxed with PBEsol. Source: Alexandria via LeMat-Bulk, functional meta-GGA SCAN.

Cell: 6.2371 6.2371 6.2371 Å, 90.00 90.00 90.00°
Fractional coordinates of all 5 atoms:
Ba 0.0000 0.0000 0.5000
Ba 0.0000 0.5000 0.0000
Ba 0.5000 0.0000 0.0000
Hg 0.0000 0.0000 0.0000
Ru 0.5000 0.5000 0.5000

Values from the calculation:
Density = 4.88 g/cm³
Energy of formation = 0.6421 eV per atom

---

Entry 9:
A crystal of Li3Cu relaxed with PBEsol. Source: Alexandria via LeMat-Bulk, functional meta-GGA SCAN.

Cell: 4.5666 4.5666 4.5666 Å, 127.52 127.52 77.41°
Fractional coordinates of all 4 atoms:
Li 0.0000 0.0000 0.0000
Li 0.2500 0.7500 0.5000
Li 0.7500 0.2500 0.5000
Cu 0.5000 0.5000 0.0000

Values from the calculation:
Density = 2.41 g/cm³
Energy of formation = 0.0259 eV per atom

---

Entry 10:
A crystal of Ba2MnIn relaxed with PBEsol. Source: Alexandria via LeMat-Bulk, functional meta-GGA SCAN.

Cell: 5.7935 5.7935 5.7935 Å, 119.82 119.82 90.32°
Fractional coordinates of all 4 atoms:
Ba 0.2500 0.7500 0.5000
Ba 0.7500 0.2500 0.5000
Mn 0.0000 0.0000 0.0000
In 0.5000 0.5000 0.0000

Values from the calculation:
Density = 5.35 g/cm³
Energy of formation = -0.1017 eV per atom

---

Entry 11:
A crystal of TiBiSe2 relaxed with PBEsol. Source: Alexandria via LeMat-Bulk, functional meta-GGA SCAN.

Cell: 9.1920 9.1920 9.1920 Å, 21.86 21.86 21.86°
Fractional coordinates of all 4 atoms:
Ti 0.0000 0.0000 0.0000
Bi 0.5000 0.5000 0.5000
Se 0.3908 0.3908 0.3908
Se 0.6092 0.6092 0.6092

Values from the calculation:
Density = 7.30 g/cm³
Uncorrected formation energy = -0.847 eV/atom

---

Entry 12:
A crystal of ScMoW2 relaxed with PBEsol. Source: Alexandria via LeMat-Bulk, functional meta-GGA SCAN.

Cell: 2.7560 2.7560 9.1574 Å, 90.00 90.00 109.06°
Fractional coordinates of all 4 atoms:
Sc 0.0000 0.0000 0.0000
Mo 0.0000 0.0000 0.5000
W 0.5000 0.5000 0.2636
W 0.5000 0.5000 0.7364

Values from the calculation:
Density = 12.85 g/cm³
Energy of formation = 0.1774 eV per atom
Distance to the lowest polymorph of the same formula = 20.3 meV/atom

---

Entry 13:
A crystal of CoAg2Bi relaxed with PBEsol. Source: Alexandria via LeMat-Bulk, functional meta-GGA SCAN.

Cell: 10.5005 10.5005 10.5005 Å, 159.09 159.09 29.74°
Fractional coordinates of all 8 atoms:
Co 0.0000 0.0000 0.0000
Co 0.7500 0.2500 0.5000
Ag 0.1145 0.6250 0.9895
Ag 0.3750 0.3645 0.4895
Ag 0.6355 0.1250 0.0105
Ag 0.8750 0.8855 0.5105
Bi 0.2500 0.7500 0.5000
Bi 0.5000 0.5000 0.0000

Values from the calculation:
Density = 10.90 g/cm³
Energy of formation = 0.4923 eV per atom

---

Entry 14:
A crystal of CaCr2Rh relaxed with PBEsol. Source: Alexandria via LeMat-Bulk, functional meta-GGA SCAN.

Cell: 4.5463 4.5463 4.5463 Å, 60.00 60.00 60.00°
Fractional coordinates of all 4 atoms:
Ca 0.0000 0.0000 0.0000
Cr 0.2500 0.2500 0.2500
Cr 0.7500 0.7500 0.7500
Rh 0.5000 0.5000 0.5000

Values from the calculation:
Density = 6.17 g/cm³
Energy of formation = 0.3493 eV per atom
Distance to the lowest polymorph of the same formula = 12.8 meV/atom

---

Entry 15:
A crystal of Cd2Sb5O2F31 relaxed with PBEsol. Source: Alexandria via LeMat-Bulk, functional meta-GGA SCAN.

Cell: 10.9080 11.0551 10.1733 Å, 90.00 105.61 90.00°
Fractional coordinates of all 80 atoms:
Cd 0.0212 0.1459 0.1343
Cd 0.0212 0.3541 0.6343
Cd 0.9788 0.6459 0.3657
Cd 0.9788 0.8541 0.8657
Sb 0.0000 0.0000 0.5000
Sb 0.0000 0.5000 0.0000
Sb 0.2632 0.6626 0.7347
Sb 0.2632 0.8374 0.2347
Sb 0.3161 0.1987 0.9318
Sb 0.3161 0.3013 0.4318
Sb 0.6839 0.6987 0.5682
Sb 0.6839 0.8013 0.0682
Sb 0.7368 0.1626 0.7653
Sb 0.7368 0.3374 0.2653
O 0.4151 0.0702 0.7116
O 0.4151 0.4298 0.2116
O 0.5849 0.5702 0.7884
O 0.5849 0.9298 0.2884
F 0.0000 0.0000 0.0000
F 0.0000 0.5000 0.5000
F 0.0290 0.5370 0.1911
F 0.0290 0.9630 0.6912
F 0.0473 0.1661 0.5453
F 0.0473 0.3339 0.0453
F 0.1156 0.7307 0.7791
F 0.1156 0.7693 0.2791
F 0.1581 0.2419 0.3125
F 0.1581 0.2581 0.8125
F 0.1705 0.5369 0.0149
F 0.1705 0.9631 0.5149
F 0.1741 0.6757 0.5444
F 0.1741 0.8243 0.0444
F 0.1913 0.5060 0.7421
F 0.1913 0.9940 0.2421
F 0.2189 0.1550 0.0542
F 0.2189 0.3450 0.5542
F 0.2819 0.0460 0.8393
F 0.2819 0.4540 0.3393
F 0.3319 0.6836 0.2218
F 0.3319 0.8164 0.7218
F 0.3480 0.1413 0.5030
F 0.3480 0.3587 0.0030
F 0.3584 0.6473 0.9177
F 0.3584 0.8527 0.4177
F 0.3971 0.5805 0.6746
F 0.3971 0.9195 0.1746
F 0.3978 0.2427 0.7912
F 0.3978 0.2573 0.2912
F 0.4672 0.1390 0.0475
F 0.4672 0.3610 0.5475
F 0.5328 0.6390 0.4525
F 0.5328 0.8610 0.9525
F 0.6022 0.7427 0.7088
F 0.6022 0.7573 0.2088
F 0.6029 0.0805 0.8254
F 0.6029 0.4195 0.3254
F 0.6416 0.1473 0.5823
F 0.6416 0.3527 0.0823
F 0.6520 0.6413 0.9970
F 0.6520 0.8587 0.4970
F 0.6681 0.1836 0.2782
F 0.6681 0.3164 0.7782
F 0.7181 0.5460 0.6607
F 0.7181 0.9540 0.1607
F 0.7811 0.6550 0.4458
F 0.7811 0.8450 0.9458
F 0.8087 0.0060 0.7579
F 0.8087 0.4940 0.2579
F 0.8259 0.1757 0.9556
F 0.8259 0.3243 0.4556
F 0.8295 0.0369 0.4851
F 0.8295 0.4631 0.9851
F 0.8419 0.7419 0.1875
F 0.8419 0.7581 0.6875
F 0.8844 0.2307 0.7209
F 0.8844 0.2693 0.2209
F 0.9527 0.6661 0.9547
F 0.9527 0.8339 0.4547
F 0.9710 0.0370 0.3088
F 0.9710 0.4630 0.8088

Values from the calculation:
Density = 4.09 g/cm³
Uncorrected formation energy = -2.051 eV/atom

---

Entry 16:
A crystal of Mn3Ag relaxed with PBEsol. Source: Alexandria via LeMat-Bulk, functional meta-GGA SCAN.

Cell: 2.6416 3.5478 5.4590 Å, 90.00 90.00 90.00°
Fractional coordinates of all 4 atoms:
Mn 0.0000 0.0000 0.0000
Mn 0.5000 0.5000 0.2223
Mn 0.5000 0.5000 0.7777
Ag 0.0000 0.0000 0.5000

Values from the calculation:
Density = 8.85 g/cm³
Energy of formation = 0.0783 eV per atom

---

Entry 17:
A crystal of TcTeH3 relaxed with PBEsol. Source: Alexandria via LeMat-Bulk, functional meta-GGA SCAN.

Cell: 3.6220 3.6220 3.6220 Å, 90.00 90.00 90.00°
Fractional coordinates of all 5 atoms:
Tc 0.0000 0.0000 0.0000
Te 0.5000 0.5000 0.5000
H 0.0000 0.0000 0.5000
H 0.0000 0.5000 0.0000
H 0.5000 0.0000 0.0000

Values from the calculation:
VASP energy = -15.986 eV per atom
Density = 7.99 g/cm³

---

Entry 18:
A crystal of Ba3ZnPt relaxed with PBEsol. Source: Alexandria via LeMat-Bulk, functional meta-GGA SCAN.

Cell: 6.0578 6.0578 6.0578 Å, 90.00 90.00 90.00°
Fractional coordinates of all 5 atoms:
Ba 0.0000 0.0000 0.5000
Ba 0.0000 0.5000 0.0000
Ba 0.5000 0.0000 0.0000
Zn 0.5000 0.5000 0.5000
Pt 0.0000 0.0000 0.0000

Values from the calculation:
Density = 5.02 g/cm³
Energy of formation = -0.3297 eV per atom

---

Entry 19:
A crystal of FeCl4 relaxed with PBEsol. Source: Alexandria via LeMat-Bulk, functional meta-GGA SCAN.

Cell: 5.7201 5.7201 3.3547 Å, 90.00 90.00 96.69°
Fractional coordinates of all 5 atoms:
Fe 0.0000 0.0000 0.0000
Cl 0.1766 0.8234 0.5000
Cl 0.2825 0.2825 0.0000
Cl 0.7175 0.7175 0.0000
Cl 0.8234 0.1766 0.5000

Values from the calculation:
Density = 3.01 g/cm³
Uncorrected formation energy = -0.665 eV/atom

---

Entry 20:
A crystal of ReC4 relaxed with PBEsol. Source: Alexandria via LeMat-Bulk, functional meta-GGA SCAN.

Cell: 4.0815 4.0815 4.0815 Å, 109.47 109.47 109.47°
Fractional coordinates of all 5 atoms:
Re 0.0000 0.0000 0.0000
C 0.0000 0.0000 0.5000
C 0.0000 0.5000 0.0000
C 0.5000 0.0000 0.0000
C 0.5000 0.5000 0.5000

Values from the calculation:
Density = 7.43 g/cm³
Energy of formation = 2.7390 eV per atom